No. 1
CoReHN2: optimized geometry, PBE.

Geometry as POSCAR:
```
CoReHN2
1.0
3.403 0.000 0.000
0.000 5.169 0.000
0.000 0.000 3.403
Re Co H N
1 1 1 2
direct
0.000 0.500 0.000
0.000 0.000 0.000
0.500 0.500 0.500
0.000 0.000 0.500
0.500 0.000 0.000
```

Results
E_tot, Ry/atom: -0.4492
SG: P4/mmm, No. 123

=====

No. 2
CoHSN: optimized geometry, PBE.

Geometry as POSCAR:
```
CoHSN
1.0
-2.649 -4.171 -3.252
2.065 0.121 -1.837
3.039 -3.774 3.165
Co H S N
2 2 2 2
direct
0.255 0.000 0.112
0.255 0.500 0.612
0.795 0.000 0.908
0.795 0.500 0.408
0.883 0.000 0.132
0.883 0.500 0.632
0.325 0.000 0.431
0.325 0.500 0.931
```

Results
E_tot, Ry/atom: -0.4003
Distance to the lowest polymorph of the same formula, kJ/mol of formula units: 114
SG: Cm, No. 8

=====

No. 3
CoHSN: optimized geometry, PBE.

Geometry as POSCAR:
```
CoHSN
1.0
-1.010 -0.894 2.287
-1.673 -1.559 -1.349
4.141 -4.469 0.029
Co H S N
1 1 1 1
direct
0.146 0.500 0.320
0.651 0.000 0.582
0.139 0.500 0.944
0.647 0.000 0.412
```

Results
E_tot, Ry/atom: -0.4100
Distance to the lowest polymorph of the same formula, kJ/mol of formula units: 63
SG: Pm, No. 6

=====

No. 4
CoHSN: optimized geometry, PBE.

Geometry as POSCAR:
```
CoHSN
1.0
3.151 0.016 -0.009
1.559 3.318 0.021
0.004 1.418 3.876
Co H S N
1 1 1 1
direct
0.770 0.179 0.043
0.089 0.542 0.337
0.388 0.943 0.787
0.248 0.223 0.344
```

Results
E_tot, Ry/atom: -0.4136
Distance to the lowest polymorph of the same formula, kJ/mol of formula units: 44
SG: Cm, No. 8

=====

No. 5
CoHSN: optimized geometry, PBE.

Geometry as POSCAR:
```
CoHSN
1.0
2.713 0.001 0.011
-1.351 3.295 0.001
-0.377 -0.175 5.558
Co H S N
1 1 1 1
direct
0.900 0.001 0.684
0.272 0.656 0.999
0.593 0.443 0.460
0.367 0.883 0.875
```

Results
E_tot, Ry/atom: -0.4129
Distance to the lowest polymorph of the same formula, kJ/mol of formula units: 48
SG: P1, No. 1

=====

No. 6
CoHSN: optimized geometry, PBE.

Geometry as POSCAR:
```
CoHSN
1.0
5.989 0.000 0.003
0.000 2.920 0.000
-0.037 0.000 5.059
Co H S N
2 2 2 2
direct
0.704 0.000 0.960
0.704 0.500 0.460
0.023 0.000 0.630
0.023 0.500 0.130
0.439 0.000 0.291
0.439 0.500 0.791
0.851 0.000 0.628
0.851 0.500 0.128
```

Results
E_tot, Ry/atom: -0.4220
Distance to the lowest polymorph of the same formula, kJ/mol of formula units: 0
SG: Cm, No. 8

=====

Number 1: size of the total moment 2.9 μB per formula unit. Number 2: size of the total moment 0.0 μB per formula unit. Number 3: size of the total moment 1.6 μB per formula unit. Number 4: size of the total moment 0.9 μB per formula unit. Number 5: size of the total moment 0.0 μB per formula unit. Number 6: size of the total moment 0.0 μB per formula unit.